No. 1
Density functional theory data (GGA-PBE) for a relaxed CaPmTe4Pb2 crystal.

Properties
Total DFT energy (no corrections) = -4.23 eV per atom
Formation energy from raw total energies = -0.8876 eV/atom

abc: 4.567 7.883 8.081
angles: 70.54 90.00 90.00
Atoms (fractional coordinates):
Te (0.000, 0.741, 0.751)
Te (0.000, 0.259, 0.249)
Te (0.500, 0.258, 0.746)
Te (0.500, 0.742, 0.254)
Pm (0.000, 0.500, 0.500)
Pb (0.500, 0.000, 0.500)
Pb (0.000, 0.000, 0.000)
Ca (0.500, 0.500, 0.000)

No. 2
Density functional theory data (GGA-PBE) for a relaxed CeTmMg6 crystal.

Properties
Total DFT energy (no corrections) = -2.48 eV per atom

abc: 4.543 6.712 6.712
angles: 90.00 90.00 90.00
Atoms (fractional coordinates):
Mg (0.000, 0.254, 0.746)
Mg (0.000, 0.254, 0.254)
Mg (0.000, 0.746, 0.746)
Mg (0.500, 0.000, 0.500)
Mg (0.500, 0.500, 0.000)
Mg (0.000, 0.746, 0.254)
Tm (0.500, 0.500, 0.500)
Ce (0.500, 0.000, 0.000)

Number 1: DOS(E_F) 4.5 states/eV/f.u.. Number 2: DOS(E_F) 12.9 states/eV/f.u..